A relaxed structure of NdNbB4, computed with GGA-PBE.

Output
* electronic total energy: -0.5542 Ry/atom
* size of the total moment: 0.0 μB per formula unit

a b c (Å): 3.1681 3.1681 7.5926
angles (deg): 90.00 90.00 120.00
Atoms (fractional coordinates):
B 0.6667 0.3333 0.2818
B 0.3333 0.6667 0.2818
B 0.6667 0.3333 0.7182
B 0.3333 0.6667 0.7182
Nb 0.0000 0.0000 0.5000
Nd 0.0000 0.0000 0.0000



A relaxed structure of CdGe, computed with GGA-PBE.

Output
* electronic total energy: -0.1877 Ry/atom

a b c (Å): 3.0643 3.0642 5.2893
angles (deg): 90.00 90.00 120.00
Atoms (fractional coordinates):
Cd 0.6667 0.3333 0.7500
Ge 0.3333 0.6667 0.2500